1.
# BeSi3I (PBE-GGA, optimized geometry)
data_BeSi3I
_cell_length_a 5.280
_cell_length_b 5.280
_cell_length_c 5.280
_cell_angle_alpha 90.00
_cell_angle_beta 90.00
_cell_angle_gamma 90.00
_symmetry_space_group_name_H-M 'P 1'
_symmetry_Int_Tables_number 1
loop_
_symmetry_equiv_pos_as_xyz
'x,y,z'
loop_
_atom_site_label
_atom_site_type_symbol
_atom_site_fract_x
_atom_site_fract_y
_atom_site_fract_z
Be1 Be 0.000 0.000 0.000
Si1 Si 0.000 0.500 0.500
Si2 Si 0.500 0.000 0.500
Si3 Si 0.500 0.500 0.000
I1 I 0.500 0.500 0.500
# Crystal system: cubic
# Spin magnetization: 0.000 μB/atom
# Density of states at the Fermi level: 3.9 states/eV/cell
# Formation energy (no corrections): 2095 meV per atom
# Raw total energy: -2.21 eV per atom
# Distance to the lowest polymorph of the same formula: 1247 meV per atom

2.
# SrInFeRh2 (PBE-GGA, optimized geometry)
data_SrInFeRh2
_cell_length_a 4.895
_cell_length_b 4.895
_cell_length_c 5.680
_cell_angle_alpha 90.00
_cell_angle_beta 90.00
_cell_angle_gamma 90.00
_symmetry_space_group_name_H-M 'P 1'
_symmetry_Int_Tables_number 1
loop_
_symmetry_equiv_pos_as_xyz
'x,y,z'
loop_
_atom_site_label
_atom_site_type_symbol
_atom_site_fract_x
_atom_site_fract_y
_atom_site_fract_z
Sr1 Sr 0.000 0.000 0.000
In1 In 0.000 0.000 0.500
Fe1 Fe 0.500 0.500 0.500
Rh1 Rh 0.000 0.500 0.000
Rh2 Rh 0.500 0.000 0.000
# Crystal system: tetragonal
# Spin magnetization: 0.043 μB/atom
# Density of states at the Fermi level: 10.6 states/eV/cell
# Raw total energy: -3.39 eV per atom
# Energy of formation: 2.131 eV per atom

3.
# HoPaMnN4 (PBE-GGA, optimized geometry)
data_HoPaMnN4
_cell_length_a 6.571
_cell_length_b 6.571
_cell_length_c 6.571
_cell_angle_alpha 147.48
_cell_angle_beta 147.48
_cell_angle_gamma 46.66
_symmetry_space_group_name_H-M 'P 1'
_symmetry_Int_Tables_number 1
loop_
_symmetry_equiv_pos_as_xyz
'x,y,z'
loop_
_atom_site_label
_atom_site_type_symbol
_atom_site_fract_x
_atom_site_fract_y
_atom_site_fract_z
Ho1 Ho 0.000 0.000 0.000
Pa1 Pa 0.715 0.715 0.000
Mn1 Mn 0.356 0.356 0.000
N1 N 0.185 0.185 0.000
N2 N 0.353 0.853 0.500
N3 N 0.537 0.537 0.000
N4 N 0.853 0.353 0.500
# Crystal system: tetragonal
# Spin magnetization: 0.072 μB/atom
# Density of states at the Fermi level: 2.7 states/eV/cell
# Formation energy (no corrections): -1127 meV per atom
# Raw total energy: -9.20 eV per atom

4.
# CuCN2F (PBE-GGA, optimized geometry)
data_CuCN2F
_cell_length_a 3.804
_cell_length_b 3.804
_cell_length_c 3.829
_cell_angle_alpha 90.00
_cell_angle_beta 90.00
_cell_angle_gamma 90.00
_symmetry_space_group_name_H-M 'P 1'
_symmetry_Int_Tables_number 1
loop_
_symmetry_equiv_pos_as_xyz
'x,y,z'
loop_
_atom_site_label
_atom_site_type_symbol
_atom_site_fract_x
_atom_site_fract_y
_atom_site_fract_z
Cu1 Cu 0.000 0.000 0.000
C1 C 0.500 0.500 0.500
N1 N 0.000 0.500 0.000
N2 N 0.500 0.000 0.000
F1 F 0.000 0.000 0.500
# Crystal system: tetragonal
# Spin magnetization: 0.379 μB/atom
# Density of states at the Fermi level: 3.3 states/eV/cell
# Formation energy (no corrections): 2357 meV per atom
# Raw total energy: -4.01 eV per atom
# Distance to the lowest polymorph of the same formula: 1069 meV per atom

5.
# HfZr2TlAu (PBE-GGA, optimized geometry)
data_HfZr2TlAu
_cell_length_a 5.210
_cell_length_b 5.210
_cell_length_c 5.098
_cell_angle_alpha 90.00
_cell_angle_beta 90.00
_cell_angle_gamma 90.00
_symmetry_space_group_name_H-M 'P 1'
_symmetry_Int_Tables_number 1
loop_
_symmetry_equiv_pos_as_xyz
'x,y,z'
loop_
_atom_site_label
_atom_site_type_symbol
_atom_site_fract_x
_atom_site_fract_y
_atom_site_fract_z
Hf1 Hf 0.000 0.000 0.000
Zr1 Zr 0.000 0.500 0.500
Zr2 Zr 0.500 0.000 0.500
Tl1 Tl 0.500 0.500 0.000
Au1 Au 0.500 0.500 0.500
# Crystal system: tetragonal
# Spin magnetization: 0.112 μB/atom
# Density of states at the Fermi level: 7.9 states/eV/cell
# Raw total energy: -5.67 eV per atom
# Energy of formation: 0.870 eV per atom

6.
# Ti2MoHAu (PBE-GGA, optimized geometry)
data_Ti2MoHAu
_cell_length_a 4.282
_cell_length_b 4.282
_cell_length_c 3.675
_cell_angle_alpha 90.00
_cell_angle_beta 90.00
_cell_angle_gamma 90.00
_symmetry_space_group_name_H-M 'P 1'
_symmetry_Int_Tables_number 1
loop_
_symmetry_equiv_pos_as_xyz
'x,y,z'
loop_
_atom_site_label
_atom_site_type_symbol
_atom_site_fract_x
_atom_site_fract_y
_atom_site_fract_z
Ti1 Ti 0.000 0.500 0.000
Ti2 Ti 0.500 0.000 0.000
Mo1 Mo 0.000 0.000 0.500
H1 H 0.000 0.000 0.000
Au1 Au 0.500 0.500 0.500
# Crystal system: tetragonal
# Spin magnetization: 0.000 μB/atom
# Density of states at the Fermi level: 4.1 states/eV/cell
# Raw total energy: -6.93 eV per atom